# PBE-GGA ZrAu3I, relaxed
data_ZrAu3I
_chemical_formula_sum 'Zr1 Au3 I1'
_symmetry_space_group_name_H-M 'P m -3 m'
_symmetry_Int_Tables_number 221
_symmetry_space_group_name_Hall '-P 4 2 3'
_cell_length_a 5.219
_cell_length_b 5.219
_cell_length_c 5.219
_cell_angle_alpha 90.00
_cell_angle_beta 90.00
_cell_angle_gamma 90.00
loop_
_atom_site_label
_atom_site_type_symbol
_atom_site_fract_x
_atom_site_fract_y
_atom_site_fract_z
Zr1 Zr 0.000 0.000 0.000
Au1 Au 0.000 0.500 0.500
I1 I 0.500 0.500 0.500
# **Theoretical density**: 9.45 g/cm3
# **Formation energy (no corrections)**: 1.15 eV/atom
# **Total magnetization**: 0.373 μB/atom
# **V**: 28.42 Å³/atom